# 1
{
  "formula": "MnAgSnPt",
  "functional": "PBE",
  "state": "relaxed",
  "magnetic_moment_mub_per_fu": 4.2,
  "density_g_cm3": 11.34,
  "spacegroup": "F-43m, No. 216",
  "delta_e_f_ev_per_atom": -0.137,
  "lattice": [[0.000, 3.268, 3.268], [3.268, 0.000, 3.268], [3.268, 3.268, 0.000]],
  "species": ["Mn", "Ag", "Sn", "Pt"],
  "frac_coords": [[0.000, 0.000, 0.000], [0.250, 0.250, 0.250], [0.500, 0.500, 0.500], [0.750, 0.750, 0.750]]
}



# 2
{
  "formula": "Pa2GaSi4Pt3",
  "functional": "PBE",
  "state": "relaxed",
  "magnetic_moment_mub_per_fu": 1.0,
  "density_g_cm3": 11.60,
  "spacegroup": "P-4m2, No. 115",
  "e_form_raw_mev_per_atom": -800,
  "lattice": [[4.268, 0.000, 0.000], [0.000, 4.268, 0.000], [0.000, 0.000, 9.666]],
  "species": ["Pa", "Pa", "Ga", "Si", "Si", "Si", "Si", "Pt", "Pt", "Pt"],
  "frac_coords": [[0.000, 0.500, 0.250], [0.500, 0.000, 0.750], [0.000, 0.000, 0.500], [0.000, 0.000, 0.000], [0.000, 0.500, 0.636], [0.500, 0.000, 0.364], [0.500, 0.500, 0.000], [0.000, 0.500, 0.881], [0.500, 0.000, 0.119], [0.500, 0.500, 0.500]]
}



# 3
{
  "formula": "Bi2PbCl8",
  "functional": "PBE",
  "state": "relaxed",
  "magnetic_moment_mub_per_fu": 0.0,
  "density_g_cm3": 3.92,
  "spacegroup": "P1, No. 1",
  "e_form_raw_mev_per_atom": -996,
  "lattice": [[5.404, 0.000, 0.000], [-2.698, 6.733, 0.000], [-2.698, -2.537, 10.585]],
  "species": ["Bi", "Bi", "Pb", "Cl", "Cl", "Cl", "Cl", "Cl", "Cl", "Cl", "Cl"],
  "frac_coords": [[0.000, 0.000, 0.000], [0.148, 0.926, 0.371], [0.181, 0.464, 0.686], [0.027, 0.587, 0.454], [0.134, 0.339, 0.917], [0.236, 0.236, 0.235], [0.404, 0.202, 0.610], [0.455, 0.948, 0.970], [0.684, 0.978, 0.401], [0.742, 0.724, 0.761], [0.914, 0.690, 0.136]]
}



# 4
{
  "formula": "Ac5Nd4Mg",
  "functional": "PBE",
  "state": "relaxed",
  "magnetic_moment_mub_per_fu": 0.0,
  "density_g_cm3": 7.38,
  "spacegroup": "P4/mmm, No. 123",
  "delta_e_f_ev_per_atom": 0.076,
  "lattice": [[4.404, 0.000, 0.000], [0.000, 4.404, 0.000], [0.000, 0.000, 20.140]],
  "species": ["Ac", "Ac", "Ac", "Ac", "Ac", "Nd", "Nd", "Nd", "Nd", "Mg"],
  "frac_coords": [[0.000, 0.000, 0.000], [0.000, 0.000, 0.197], [0.000, 0.000, 0.406], [0.000, 0.000, 0.594], [0.000, 0.000, 0.803], [0.500, 0.500, 0.100], [0.500, 0.500, 0.298], [0.500, 0.500, 0.702], [0.500, 0.500, 0.900], [0.500, 0.500, 0.500]]
}



# 5
{
  "formula": "Tb2SmCd",
  "functional": "PBE",
  "state": "relaxed",
  "magnetic_moment_mub_per_fu": 0.0,
  "density_g_cm3": 8.04,
  "relative_energy_kcal_per_mol_atoms": 0.09,
  "spacegroup": "C2/m, No. 12",
  "delta_e_f_ev_per_atom": -0.146,
  "lattice": [[6.351, -1.909, 0.000], [6.351, 1.909, 0.000], [-2.350, 0.000, 4.945]],
  "species": ["Tb", "Tb", "Sm", "Cd"],
  "frac_coords": [[0.224, 0.224, 0.224], [0.776, 0.776, 0.776], [0.000, 0.000, 0.500], [0.500, 0.500, 0.000]]
}



# 6
{
  "formula": "LaUC2",
  "functional": "PBE",
  "state": "relaxed",
  "magnetic_moment_mub_per_fu": 0.0,
  "density_g_cm3": 9.86,
  "relative_energy_kcal_per_mol_atoms": 0.86,
  "spacegroup": "Pmmn, No. 59",
  "delta_e_f_ev_per_atom": -0.078,
  "lattice": [[3.495, 0.000, 0.000], [0.000, 6.189, 0.000], [0.000, 0.000, 6.246]],
  "species": ["La", "La", "U", "U", "C", "C", "C", "C"],
  "frac_coords": [[0.250, 0.250, 0.090], [0.750, 0.750, 0.910], [0.250, 0.750, 0.422], [0.750, 0.250, 0.578], [0.250, 0.009, 0.696], [0.250, 0.491, 0.696], [0.750, 0.509, 0.304], [0.750, 0.991, 0.304]]
}



What is the formula in the second record? Pa2GaSi4Pt3